This record from the Alexandria database describes a geometry-optimized BiPbCl4 structure. The functional is PBE.

Calculated values
Calculated volume (Å³/atom): 32.4
Total moment (μB per cell): 1.9
Formation energy without anion corrections (eV per atom): -0.869

a b c (Å): 6.9757 7.3478 7.6316
angles (deg): 90.00 96.29 90.00
Closest atoms and distances in Å follow each position.
Space group P2_1/c (No. 14)
Symmetry-distinct sites (fractional):
Bi  0.0000  0.0000  0.0000 (multiplicity 2)  4 Cl 2.72-2.80
Pb  0.5000  0.0000  0.5000 (multiplicity 2)  6 Cl 2.87-3.02
Cl  0.1698  0.1811  0.6111 (multiplicity 4)  1 Bi 2.72, 1 Pb 2.87
Cl  0.3265  0.6751  0.6676 (multiplicity 4)  1 Bi 2.80, 2 Pb 2.98-3.02

This record from the Alexandria database describes a geometry-optimized RbBi2PbCl structure. The functional is PBE.

Calculated values
Calculated volume (Å³/atom): 56.2
Total moment (μB per cell): 0.0
Formation energy without anion corrections (eV per atom): 0.073

a b c (Å): 5.8163 5.8163 8.3056
angles (deg): 90.00 90.00 90.00
Closest atoms and distances in Å follow each position.
Space group P4/mmm (No. 123)
Symmetry-distinct sites (fractional):
Rb  0.0000  0.0000  0.0000 (multiplicity 1)  4 Cl 4.11, 2 Pb 4.15
Bi  0.0000  0.5000  0.5000 (multiplicity 2)  2 Pb 2.91
Pb  0.0000  0.0000  0.5000 (multiplicity 1)  4 Bi 2.91
Cl  0.5000  0.5000  0.0000 (multiplicity 1)  4 Rb 4.11

This record from the Alexandria database describes a geometry-optimized Rb2BiPbCl6 structure. The functional is PBE.

Calculated values
Calculated volume (Å³/atom): 36.7
Total moment (μB per cell): 0.0
Formation energy without anion corrections (eV per atom): -1.283

a b c (Å): 8.0181 8.0181 11.4324
angles (deg): 90.00 90.00 90.00
Closest atoms and distances in Å follow each position.
Space group I4/mmm (No. 139)
Symmetry-distinct sites (fractional):
Rb  0.0000  0.5000  0.2500 (multiplicity 4)  12 Cl 4.01-4.03
Bi  0.0000  0.0000  0.0000 (multiplicity 2)  6 Cl 2.79-2.83
Pb  0.0000  0.0000  0.5000 (multiplicity 2)  6 Cl 2.88-2.89
Cl  0.0000  0.0000  0.2473 (multiplicity 4)  1 Bi 2.83, 1 Pb 2.89
Cl  0.2460  0.2460  0.0000 (multiplicity 8)  1 Bi 2.79, 1 Pb 2.88

This record from the Alexandria database describes a geometry-optimized BiPbSCl2 structure. The functional is PBE.

Calculated values
Calculated volume (Å³/atom): 31.7
Total moment (μB per cell): 0.8
Relative energy among the computed polymorphs (eV per atom): 0.0000
Formation energy without anion corrections (eV per atom): -0.264

a b c (Å): 5.4217 5.4217 5.3989
angles (deg): 90.00 90.00 90.00
Closest atoms and distances in Å follow each position.
Space group P4/mmm (No. 123)
Symmetry-distinct sites (fractional):
Bi  0.0000  0.0000  0.0000 (multiplicity 1)  2 S 2.70, 4 Cl 2.71
Pb  0.5000  0.5000  0.5000 (multiplicity 1)  8 Cl 3.83, 4 S 3.83
S  0.0000  0.0000  0.5000 (multiplicity 1)  2 Bi 2.70
Cl  0.0000  0.5000  0.0000 (multiplicity 2)  2 Bi 2.71

This record from the Alexandria database describes a geometry-optimized BiPbS2Cl structure. The functional is PBE.

Calculated values
Calculated volume (Å³/atom): 29.9
Total moment (μB per cell): 0.0
Relative energy among the computed polymorphs (eV per atom): 0.7547
Formation energy without anion corrections (eV per atom): 0.192

a b c (Å): 5.3330 5.3330 5.2587
angles (deg): 90.00 90.00 90.00
Closest atoms and distances in Å follow each position.
Space group P4/mmm (No. 123)
Symmetry-distinct sites (fractional):
Bi  0.0000  0.0000  0.0000 (multiplicity 1)  8 S 3.74, 4 Cl 3.77
Pb  0.5000  0.5000  0.5000 (multiplicity 1)  2 Cl 2.63, 4 S 2.67
S  0.0000  0.5000  0.5000 (multiplicity 2)  2 Pb 2.67
Cl  0.5000  0.5000  0.0000 (multiplicity 1)  2 Pb 2.63

This record from the Alexandria database describes a geometry-optimized BiPbS2Cl structure. The functional is PBE.

Calculated values
Calculated volume (Å³/atom): 30.8
Total moment (μB per cell): 0.0
Relative energy among the computed polymorphs (eV per atom): 0.0000
Formation energy without anion corrections (eV per atom): -0.563

a b c (Å): 6.8778 5.4777 8.5748
angles (deg): 90.00 107.41 90.00
Closest atoms and distances in Å follow each position.
Space group P2_1/m (No. 11)
Symmetry-distinct sites (fractional):
Bi  0.1888  0.2500  0.4220 (multiplicity 2)  4 S 2.59-2.84
Pb  0.2086  0.2500  0.9226 (multiplicity 2)  4 S 2.90-2.97, 1 Cl 2.96
S  0.0666  0.7500  0.8690 (multiplicity 2)  1 Bi 2.59
S  0.0739  0.7500  0.4104 (multiplicity 2)  3 Bi 2.62-2.84, 1 Pb 2.93
Cl  0.4740  0.7500  0.2468 (multiplicity 2)  1 Pb 2.96, 1 Bi 3.08

> Which value of calculated volume does entry 4 give?

31.7 Å³/atom

Please write out number 2 again, unchanged.
This record from the Alexandria database describes a geometry-optimized RbBi2PbCl structure. The functional is PBE.

Calculated values
Calculated volume (Å³/atom): 56.2
Total moment (μB per cell): 0.0
Formation energy without anion corrections (eV per atom): 0.073

a b c (Å): 5.8163 5.8163 8.3056
angles (deg): 90.00 90.00 90.00
Closest atoms and distances in Å follow each position.
Space group P4/mmm (No. 123)
Symmetry-distinct sites (fractional):
Rb  0.0000  0.0000  0.0000 (multiplicity 1)  4 Cl 4.11, 2 Pb 4.15
Bi  0.0000  0.5000  0.5000 (multiplicity 2)  2 Pb 2.91
Pb  0.0000  0.0000  0.5000 (multiplicity 1)  4 Bi 2.91
Cl  0.5000  0.5000  0.0000 (multiplicity 1)  4 Rb 4.11

> calculated volume of number 3 (Rb2BiPbCl6)?

36.7 Å³/atom

> Which of these has the lowest calculated volume?

number 5